## CoTePb2O6 (PBE+U)

Data for a relaxed structure of CoTePb2O6.

Geometry as POSCAR:
```
CoTePb2O6
1.0
-4.4034 -1.5834 -3.2622
-4.4798 -2.5686 2.4235
-4.9374 2.8252 0.4233
O Co Pb Te
6 1 2 1
direct
0.3136 0.2081 0.7333
0.2081 0.7333 0.3136
0.7333 0.3136 0.2081
0.7919 0.2667 0.6864
0.2667 0.6864 0.7919
0.6864 0.7919 0.2667
0.0000 0.0000 0.0000
0.2529 0.2529 0.2529
0.7471 0.7471 0.7471
0.5000 0.5000 0.5000
```

Calculated values
Calculated total energy: -56.2 eV/f.u.